Below is a geometry-optimized GeP2PtO structure, with properties calculated at the GGA-PBEsol level.

Computed properties:
uncorrected formation energy = 421.7 meV/atom
total moment = 0.04 μB per atom

```
GeP2PtO
1.0
4.804 0.000 0.000
0.000 4.804 0.000
0.000 0.000 3.702
Ge P Pt O
1 2 1 1
direct
0.000 0.000 0.000
0.000 0.500 0.500
0.500 0.000 0.500
0.500 0.500 0.500
0.500 0.500 0.000
```

Below is a geometry-optimized BaPtF2 structure, with properties calculated at the GGA-PBEsol level.

Computed properties:
excess energy over the best structure of this formula in the dataset = 0.000 eV/atom
uncorrected formation energy = -1617.6 meV/atom
total moment = 0.00 μB per atom

```
BaPtF2
1.0
-2.228 2.228 7.711
2.228 -2.228 7.711
2.228 2.228 -7.711
Ba Pt F
2 2 4
direct
0.000 0.000 0.000
0.750 0.250 0.500
0.250 0.750 0.500
0.500 0.500 0.000
0.194 0.625 0.069
0.375 0.444 0.569
0.556 0.125 0.931
0.875 0.806 0.431
```

Below is a geometry-optimized Mn2AsAuS structure, with properties calculated at the GGA-PBEsol level.

Computed properties:
uncorrected formation energy = 483.9 meV/atom
total moment = 1.28 μB per atom

```
Mn2AsAuS
1.0
4.227 0.000 0.000
0.000 4.227 0.000
0.000 0.000 4.855
Mn As Au S
2 1 1 1
direct
0.000 0.500 0.000
0.500 0.000 0.000
0.000 0.000 0.500
0.500 0.500 0.500
0.000 0.000 0.000
```

Below is a geometry-optimized MgTa4Cu structure, with properties calculated at the GGA-PBEsol level.

Computed properties:
DFT formation energy = 0.610 eV per atom
total moment = 0.00 μB per atom

```
MgTa4Cu
1.0
0.000 3.812 3.812
3.812 0.000 3.812
3.812 3.812 0.000
Mg Ta Cu
1 4 1
direct
0.000 0.000 0.000
0.123 0.626 0.626
0.626 0.123 0.626
0.626 0.626 0.123
0.626 0.626 0.626
0.250 0.250 0.250
```

Below is a geometry-optimized TmCoC structure, with properties calculated at the GGA-PBEsol level.

Computed properties:
DFT formation energy = -0.391 eV per atom
total moment = 0.11 μB per atom

```
TmCoC
1.0
3.564 0.000 0.000
0.000 3.564 0.000
0.000 0.000 6.627
Tm Co C
2 2 2
direct
0.000 0.000 0.250
0.000 0.000 0.750
0.500 0.500 0.000
0.500 0.500 0.500
0.000 0.500 0.000
0.500 0.000 0.500
```

Below is a geometry-optimized ZrAs2Os structure, with properties calculated at the GGA-PBEsol level.

Computed properties:
DFT formation energy = -0.347 eV per atom
total moment = 0.00 μB per atom

```
ZrAs2Os
1.0
4.506 0.000 0.000
0.000 4.506 0.000
0.000 0.000 3.151
Zr As Os
1 2 1
direct
0.000 0.000 0.000
0.000 0.500 0.500
0.500 0.000 0.500
0.500 0.500 0.000
```